(1)
Crystalline RbAgCl4 at its relaxed geometry, computed with PBE-GGA.

Output
Its formation energy from raw total energies is -0.853 eV/atom. The final energy comes out at -32.65 eV per cell. The volume comes out at 383 Å³/cell.

Unit cell a=5.956 b=7.331 c=9.026 alpha=103.84 beta=90.00 gamma=90.00
Fractional positions:
Rb 0.500 0.500 0.000
Cl 0.713 0.861 0.834
Cl 0.507 0.249 0.617
Cl 0.007 0.251 0.883
Cl 0.287 0.139 0.166
Ag 0.500 0.500 0.500
Cl 0.993 0.749 0.117
Cl 0.493 0.751 0.383
Ag 0.000 0.000 0.000
Cl 0.213 0.639 0.666
Cl 0.787 0.361 0.334
Rb 0.000 0.000 0.500

(2)
Crystalline RbAgCl2 at its relaxed geometry, computed with PBE-GGA.

Output
Its formation energy from raw total energies is -1.177 eV/atom. The final energy comes out at -24.44 eV per cell. The volume comes out at 250 Å³/cell.

Unit cell a=7.733 b=7.733 c=6.880 alpha=55.81 beta=55.81 gamma=90.00
Fractional positions:
Cl 0.691 0.125 0.250
Ag 0.750 0.250 0.500
Ag 0.000 0.000 0.000
Cl 0.375 0.309 0.750
Cl 0.059 0.625 0.250
Rb 0.250 0.750 0.500
Rb 0.500 0.500 0.000
Cl 0.875 0.941 0.750

(3)
Crystalline Rb5Ag3Cl12 at its relaxed geometry, computed with PBE-GGA.

Output
Its formation energy from raw total energies is -0.977 eV/atom. The final energy comes out at -220.36 eV per cell. The volume comes out at 3270 Å³/cell.

Unit cell a=16.196 b=16.196 c=16.196 alpha=109.47 beta=109.47 gamma=109.47
Last column: magnetic moment on the atom in μB.
Fractional positions:
Cl 0.796 0.357 0.992  0.09
Rb 0.750 0.625 0.375  0.00
Rb 0.125 0.750 0.375  0.00
Cl 0.803 0.296 0.439  0.09
Rb 0.250 0.375 0.625  0.00
Ag 0.250 0.625 0.875  0.22
Rb 0.875 0.250 0.625  0.00
Cl 0.357 0.561 0.364  0.09
Rb 0.000 0.000 0.500  0.01
Rb 0.250 0.875 0.125  0.00
Cl 0.143 0.008 0.704  0.09
Cl 0.008 0.143 0.204  0.09
Cl 0.508 0.803 0.364  0.09
Cl 0.697 0.636 0.992  0.09
Rb 0.500 0.500 0.500  0.01
Ag 0.750 0.875 0.625  0.22
Ag 0.875 0.750 0.125  0.22
Ag 0.125 0.250 0.875  0.22
Cl 0.864 0.857 0.561  0.09
Cl 0.296 0.803 0.939  0.09
Cl 0.061 0.364 0.857  0.09
Rb 0.000 0.500 0.000  0.01
Cl 0.364 0.061 0.357  0.09
Ag 0.375 0.625 0.250  0.22
Cl 0.296 0.492 0.857  0.09
Rb 0.125 0.375 0.250  0.00
Cl 0.643 0.204 0.508  0.09
Ag 0.625 0.375 0.750  0.22
Cl 0.636 0.939 0.643  0.09
Rb 0.875 0.625 0.750  0.00
Rb 0.500 0.000 0.500  0.01
Cl 0.439 0.796 0.803  0.09
Cl 0.939 0.303 0.296  0.09
Ag 0.625 0.250 0.375  0.22
Cl 0.061 0.697 0.704  0.09
Ag 0.875 0.125 0.250  0.22
Cl 0.796 0.439 0.303  0.09
Cl 0.992 0.136 0.697  0.09
Cl 0.857 0.864 0.061  0.09
Cl 0.636 0.697 0.492  0.09
Cl 0.561 0.204 0.197  0.09
Cl 0.857 0.992 0.296  0.09
Cl 0.303 0.939 0.796  0.09
Ag 0.125 0.875 0.750  0.22
Rb 0.375 0.125 0.750  0.00
Cl 0.704 0.508 0.143  0.09
Rb 0.000 0.000 0.000  0.01
Rb 0.000 0.500 0.500  0.01
Cl 0.197 0.492 0.136  0.09
Cl 0.803 0.508 0.864  0.09
Rb 0.625 0.750 0.875  0.00
Rb 0.750 0.125 0.875  0.00
Cl 0.643 0.439 0.636  0.09
Cl 0.364 0.303 0.508  0.09
Cl 0.136 0.992 0.197  0.09
Cl 0.704 0.197 0.061  0.09
Cl 0.992 0.857 0.796  0.09
Ag 0.750 0.375 0.125  0.22
Cl 0.864 0.008 0.803  0.09
Cl 0.439 0.643 0.136  0.09
Cl 0.697 0.061 0.204  0.09
Cl 0.357 0.796 0.492  0.09
Cl 0.561 0.357 0.864  0.09
Rb 0.375 0.250 0.125  0.00
Cl 0.008 0.864 0.303  0.09
Cl 0.143 0.136 0.939  0.09
Cl 0.508 0.704 0.643  0.09
Cl 0.939 0.636 0.143  0.09
Cl 0.197 0.704 0.561  0.09
Rb 0.500 0.000 0.000  0.01
Rb 0.500 0.500 0.000  0.01
Rb 0.625 0.875 0.250  0.00
Cl 0.303 0.364 0.008  0.09
Cl 0.204 0.643 0.008  0.09
Cl 0.492 0.197 0.636  0.09
Cl 0.204 0.561 0.697  0.09
Ag 0.375 0.750 0.625  0.22
Cl 0.492 0.296 0.357  0.09
Cl 0.136 0.143 0.439  0.09
Ag 0.250 0.125 0.375  0.22

(4)
Crystalline RbAgCl2 at its relaxed geometry, computed with PBE-GGA.

Output
Its formation energy from raw total energies is -1.125 eV/atom. The final energy comes out at -12.01 eV per cell. The volume comes out at 113 Å³/cell.

Unit cell a=4.264 b=4.264 c=7.610 alpha=73.73 beta=73.73 gamma=60.00
Fractional positions:
Cl 0.067 0.067 0.798
Cl 0.266 0.266 0.202
Ag 0.668 0.668 0.995
Rb 0.498 0.498 0.505

(5)
Crystalline RbAgCl2 at its relaxed geometry, computed with PBE-GGA.

Output
Its formation energy from raw total energies is -1.006 eV/atom. The final energy comes out at -11.54 eV per cell. The volume comes out at 101 Å³/cell.

Unit cell a=3.663 b=3.663 c=7.549 alpha=90.00 beta=90.00 gamma=90.00
Fractional positions:
Cl 0.000 0.000 0.223
Rb 0.500 0.500 0.500
Ag 0.500 0.500 0.000
Cl 0.000 0.000 0.777

(6)
Crystalline Rb5Ag2Cl6 at its relaxed geometry, computed with PBE-GGA.

Output
Its formation energy from raw total energies is -1.353 eV/atom. The final energy comes out at -78.42 eV per cell. The volume comes out at 886 Å³/cell.

Unit cell a=4.426 b=12.610 c=15.872 alpha=90.00 beta=90.00 gamma=90.00
Fractional positions:
Cl 0.000 0.836 0.593
Cl 0.500 0.660 0.832
Rb 0.500 0.399 0.755
Cl 0.000 0.164 0.407
Cl 0.000 0.664 0.093
Ag 0.000 0.645 0.737
Rb 0.500 0.000 0.500
Rb 0.500 0.160 0.984
Cl 0.000 0.010 0.117
Rb 0.500 0.340 0.484
Cl 0.000 0.510 0.383
Rb 0.500 0.500 0.000
Rb 0.500 0.840 0.016
Cl 0.500 0.840 0.332
Rb 0.500 0.660 0.516
Rb 0.500 0.899 0.745
Cl 0.000 0.336 0.907
Cl 0.000 0.490 0.617
Rb 0.500 0.101 0.255
Ag 0.000 0.855 0.237
Ag 0.000 0.145 0.763
Ag 0.000 0.355 0.263
Cl 0.500 0.340 0.168
Cl 0.000 0.990 0.883
Rb 0.500 0.601 0.245
Cl 0.500 0.160 0.668